## CoSb (SCAN)

Data for a crystal of CoSb relaxed with PBEsol.

Cell: 3.5124 3.5124 7.1459 Å, 90.00 90.00 120.00°
With the nearest neighbours (Å) after each atom.
Positions (direct):
Sb (0.3333, 0.6667, 0.7122)  4 Co 2.51-2.63
Co (0.6667, 0.3333, 0.9197)  3 Co 2.33, 3 Sb 2.51
Sb (0.6667, 0.3333, 0.2878)  4 Co 2.51-2.63
Co (0.3333, 0.6667, 0.0803)  3 Co 2.33, 3 Sb 2.51

Properties
Energy relative to the elements, uncorrected in eV/atom: 0.3796
Magnetic moment in μB per cell: 0.001
Mass density in g/cm³: 7.86

---

## CoSb (SCAN)

Data for a crystal of CoSb relaxed with PBEsol.

Cell: 3.5227 3.5227 5.1148 Å, 90.00 90.00 90.00°
With the nearest neighbours (Å) after each atom.
Positions (direct):
Co (0.5000, 0.0000, 0.8231)  6 Sb 2.48-2.63
Sb (0.5000, 0.0000, 0.3085)  6 Co 2.48-2.63
Sb (0.0000, 0.5000, 0.6915)  6 Co 2.48-2.63
Co (0.0000, 0.5000, 0.1769)  6 Sb 2.48-2.63

Properties
Energy relative to the elements, uncorrected in eV/atom: 0.2034
Magnetic moment in μB per cell: 0.000
Mass density in g/cm³: 9.45

---

- energy relative to the elements, uncorrected of number 1 (CoSb)?
  0.3796 eV/atom